(1)
! Ce2BRu3 | Alexandria via LeMat-Bulk | PBE | optimized geometry; values from VASP
! * excess energy over the best structure of this formula in the dataset: 0 meV/atom
! * space group: No. 166
! * E_tot: -8.03 eV/atom
&SYSTEM
  ibrav = 0, nat = 6, ntyp = 3
/
ATOMIC_SPECIES
Ru 101.07 Ru.upf
B 10.81 B.upf
Ce 140.12 Ce.upf
CELL_PARAMETERS angstrom
4.482 -0.160 1.853
1.180 4.327 1.853
-0.217 -0.160 4.845
ATOMIC_POSITIONS crystal
Ru 0.500 0.000 0.000
B 0.000 0.000 0.000
Ce 0.634 0.634 0.634
Ru 0.000 0.500 0.000
Ru 0.000 0.000 0.500
Ce 0.366 0.366 0.366

=====

(2)
! HfMnV2 | Alexandria via LeMat-Bulk | PBE | optimized geometry; values from VASP
! * excess energy over the best structure of this formula in the dataset: 141 meV/atom
! * space group: No. 225
! * E_tot: -9.20 eV/atom
&SYSTEM
  ibrav = 0, nat = 4, ntyp = 3
/
ATOMIC_SPECIES
Hf 178.49 Hf.upf
Mn 54.94 Mn.upf
V 50.94 V.upf
CELL_PARAMETERS angstrom
0.000 3.070 3.070
3.070 0.000 3.070
3.070 3.070 0.000
ATOMIC_POSITIONS crystal
Hf 0.500 0.500 0.500
Mn 0.000 0.000 0.000
V 0.250 0.250 0.250
V 0.750 0.750 0.750

=====

(3)
! CaNdY2 | Alexandria via LeMat-Bulk | PBE | optimized geometry; values from VASP
! * excess energy over the best structure of this formula in the dataset: 5 meV/atom
! * space group: No. 166
! * E_tot: -4.87 eV/atom
&SYSTEM
  ibrav = 0, nat = 4, ntyp = 3
/
ATOMIC_SPECIES
Y 88.91 Y.upf
Nd 144.24 Nd.upf
Ca 40.08 Ca.upf
CELL_PARAMETERS angstrom
-1.329 -3.342 -0.664
-0.521 -2.342 2.760
-11.896 2.307 2.136
ATOMIC_POSITIONS crystal
Y 0.254 0.254 0.239
Y 0.746 0.746 0.761
Nd 0.000 0.000 0.000
Ca 0.500 0.500 0.500

=====

(4)
! RbTe2WI | Alexandria via LeMat-Bulk | PBE | optimized geometry; values from VASP
! * excess energy over the best structure of this formula in the dataset: 2375 meV/atom
! * space group: No. 123
! * E_tot: -2.00 eV/atom
! * formation energy without anion corrections: 2.349 eV/atom
&SYSTEM
  ibrav = 0, nat = 5, ntyp = 4
/
ATOMIC_SPECIES
W 183.84 W.upf
Te 127.60 Te.upf
Rb 85.47 Rb.upf
I 126.90 I.upf
CELL_PARAMETERS angstrom
-4.180 3.468 -2.659
-4.333 -2.812 3.145
0.575 4.134 4.488
ATOMIC_POSITIONS crystal
W 0.500 0.500 0.500
Te 0.000 0.500 0.000
Rb 0.000 0.000 0.000
Te 0.500 0.000 0.000
I 0.000 0.000 0.500

=====

(5)
! Ta2VAu | Alexandria via LeMat-Bulk | PBE | optimized geometry; values from VASP
! * excess energy over the best structure of this formula in the dataset: 463 meV/atom
! * space group: No. 166
! * E_tot: -8.58 eV/atom
&SYSTEM
  ibrav = 0, nat = 4, ntyp = 3
/
ATOMIC_SPECIES
V 50.94 V.upf
Ta 180.95 Ta.upf
Au 196.97 Au.upf
CELL_PARAMETERS angstrom
2.852 0.000 0.000
1.426 2.470 0.000
1.426 0.823 10.103
ATOMIC_POSITIONS crystal
V 0.000 0.000 0.000
Ta 0.915 0.915 0.255
Ta 0.085 0.085 0.745
Au 0.500 0.500 0.500

=====

(6)
! Cu3AgRh | Alexandria via LeMat-Bulk | PBE | optimized geometry; values from VASP
! * excess energy over the best structure of this formula in the dataset: 0 meV/atom
! * space group: No. 221
! * E_tot: -3.49 eV/atom
&SYSTEM
  ibrav = 0, nat = 5, ntyp = 3
/
ATOMIC_SPECIES
Ag 107.87 Ag.upf
Rh 102.91 Rh.upf
Cu 63.55 Cu.upf
CELL_PARAMETERS angstrom
-1.553 1.567 -4.058
-4.288 -1.278 1.147
-0.733 4.153 1.885
ATOMIC_POSITIONS crystal
Ag 0.500 0.500 0.500
Rh 0.000 0.000 0.000
Cu 0.500 0.000 0.000
Cu 0.000 0.000 0.500
Cu 0.000 0.500 0.000

=====

(7)
! LiAlC | Alexandria via LeMat-Bulk | PBE | optimized geometry; values from VASP
! * space group: No. 91
! * E_tot: -4.45 eV/atom
&SYSTEM
  ibrav = 0, nat = 12, ntyp = 3
/
ATOMIC_SPECIES
Li 6.94 Li.upf
C 12.01 C.upf
Al 26.98 Al.upf
CELL_PARAMETERS angstrom
-3.366 -0.600 3.136
-0.387 -4.447 -1.266
5.155 -1.919 5.166
ATOMIC_POSITIONS crystal
Li 0.745 0.000 0.750
C 0.500 0.997 0.500
Li 0.000 0.255 0.500
Al 0.718 0.282 0.125
Al 0.718 0.718 0.375
Li 0.255 0.000 0.250
C 0.997 0.500 0.250
Al 0.282 0.718 0.625
C 0.500 0.003 0.000
C 0.003 0.500 0.750
Li 0.000 0.745 0.000
Al 0.282 0.282 0.875

=====

(8)
! SrLi3As3 | Alexandria via LeMat-Bulk | PBE | optimized geometry; values from VASP
! * space group: No. 223
! * E_tot: -3.33 eV/atom
&SYSTEM
  ibrav = 0, nat = 14, ntyp = 3
/
ATOMIC_SPECIES
Sr 87.62 Sr.upf
As 74.92 As.upf
Li 6.94 Li.upf
CELL_PARAMETERS angstrom
6.818 0.000 0.000
0.000 6.818 0.000
0.000 0.000 6.818
ATOMIC_POSITIONS crystal
Sr 0.500 0.500 0.500
As 0.000 0.500 0.750
Sr 0.000 0.000 0.000
Li 0.250 0.500 0.000
Li 0.500 0.000 0.750
Li 0.000 0.250 0.500
Li 0.750 0.500 0.000
Li 0.000 0.750 0.500
As 0.500 0.750 0.000
As 0.750 0.000 0.500
Li 0.500 0.000 0.250
As 0.000 0.500 0.250
As 0.250 0.000 0.500
As 0.500 0.250 0.000

=====

The calculated volume results, record by record, are as follows: 16.27; 14.46; 35.10; 44.83; 17.79; 19.71; 13.53; 22.63 Å³/atom.